(1)
The following is a DFT calculation (PBE) of a relaxed structure of CaSn3Cl8.

a b c (Å): 13.4818 8.5375 8.0225
angles (deg): 90.00 120.68 90.00
Closest atoms and distances in Å follow each position.
Space group C2/m (No. 12)
One atom of each set of equivalent atoms:
Ca (0.0000, 0.0000, 0.0000) (multiplicity 2)  6 Cl 2.78
Sn (0.0000, 0.5000, 0.0000) (multiplicity 2)  6 Cl 2.88-2.89
Sn (0.2500, 0.2500, 0.5000) (multiplicity 4)  6 Cl 2.88-2.89
Cl (0.0038, 0.2416, 0.2354) (multiplicity 8)  1 Ca 2.78, 2 Sn 2.89
Cl (0.2378, 0.0000, 0.2478) (multiplicity 4)  1 Ca 2.78, 2 Sn 2.89
Cl (0.2467, 0.5000, 0.2559) (multiplicity 4)  3 Sn 2.88

Computed properties:
* energy: -0.274 Ry per atom

(2)
The following is a DFT calculation (PBE) of a relaxed structure of Ce2PaZn.

a b c (Å): 7.2662 7.2662 7.2662
angles (deg): 90.00 90.00 90.00
Closest atoms and distances in Å follow each position.
Space group Fm-3m (No. 225)
One atom of each set of equivalent atoms:
Ce (0.2500, 0.2500, 0.2500) (multiplicity 8)  4 Pa 3.15, 4 Zn 3.15
Pa (0.0000, 0.0000, 0.0000) (multiplicity 4)  8 Ce 3.15
Zn (0.0000, 0.0000, 0.5000) (multiplicity 4)  8 Ce 3.15

Computed properties:
* energy of formation: 0.186 eV per atom

(3)
The following is a DFT calculation (PBE) of a relaxed structure of Ba2CaCdF.

a b c (Å): 6.1140 6.1140 4.5604
angles (deg): 90.00 90.00 90.00
Closest atoms and distances in Å follow each position.
Space group P4/mmm (No. 123)
One atom of each set of equivalent atoms:
Ba (0.0000, 0.5000, 0.0000) (multiplicity 2)  2 F 3.06
Ca (0.0000, 0.0000, 0.5000) (multiplicity 1)  2 F 2.28
Cd (0.5000, 0.5000, 0.5000) (multiplicity 1)  8 Ba 3.81
F (0.0000, 0.0000, 0.0000) (multiplicity 1)  2 Ca 2.28

Computed properties:
* energy: -0.214 Ry per atom

Which formula does entry 2 have? Ce2PaZn